Arrangement A

Below is a relaxed Sn2Au2N crystal, with properties calculated at the PBE-GGA level.

```
Sn2Au2N
1.0
6.2693 0.0000 0.0000
0.0000 6.2693 0.0000
0.0000 0.0000 5.0448
Sn Au N
4 4 2
Direct
0.1779 0.3221 0.0000
0.3221 0.8221 0.0000
0.6779 0.1779 0.0000
0.8221 0.6779 0.0000
0.1583 0.6583 0.5000
0.3417 0.1583 0.5000
0.6583 0.8417 0.5000
0.8417 0.3417 0.5000
0.0000 0.0000 0.0000
0.5000 0.5000 0.0000
```



Arrangement B

Below is a relaxed Sn2Au2N crystal, with properties calculated at the PBE-GGA level.

```
Sn2Au2N
1.0
3.7038 0.0000 0.0000
0.0000 3.7038 0.0000
0.0000 0.0000 15.5938
Sn Au N
4 4 2
Direct
0.0000 0.0000 0.0899
0.0000 0.0000 0.9101
0.5000 0.5000 0.4101
0.5000 0.5000 0.5899
0.0000 0.5000 0.2500
0.0000 0.5000 0.7500
0.5000 0.0000 0.2500
0.5000 0.0000 0.7500
0.0000 0.0000 0.5000
0.5000 0.5000 0.0000
```



Of them, arrangement B has the lowest stability.



Arrangement A

Below is a relaxed SnTe2AuN crystal, with properties calculated at the PBE-GGA level.

```
SnTe2AuN
1.0
5.8772 0.0000 0.0000
0.0000 5.8772 0.0000
0.0000 0.0000 3.8438
Sn Te Au N
1 2 1 1
Direct
0.0000 0.0000 0.0000
0.0000 0.5000 0.0000
0.5000 0.0000 0.0000
0.5000 0.5000 0.5000
0.0000 0.0000 0.5000
```



Arrangement B

Below is a relaxed SnTe2AuN crystal, with properties calculated at the PBE-GGA level.

```
SnTe2AuN
1.0
5.7439 0.0000 0.0000
0.0000 5.7439 0.0000
0.0000 0.0000 3.9269
Sn Te Au N
1 2 1 1
Direct
0.0000 0.0000 0.0000
0.0000 0.5000 0.5000
0.5000 0.0000 0.5000
0.5000 0.5000 0.5000
0.5000 0.5000 0.0000
```



Of them, arrangement A has the lowest stability.



Arrangement A

Below is a relaxed Sr6Au2N crystal, with properties calculated at the PBE-GGA level.

```
Sr6Au2N
1.0
7.3079 -2.1708 0.0000
7.3079 2.1708 0.0000
-4.6279 0.0000 11.1168
Sr Au N
6 2 1
Direct
0.0048 0.0048 0.2953
0.1776 0.1776 0.5989
0.3458 0.3458 0.9471
0.6542 0.6542 0.0529
0.8224 0.8224 0.4011
0.9952 0.9952 0.7047
0.3175 0.3175 0.1954
0.6825 0.6825 0.8046
0.0000 0.0000 0.5000
```



Arrangement B

Below is a relaxed Sr6Au2N crystal, with properties calculated at the PBE-GGA level.

```
Sr6Au2N
1.0
7.3088 0.0000 0.0000
0.0000 8.1103 0.0000
-7.0021 0.0000 10.4172
Sr Au N
12 4 2
Direct
0.1147 0.0328 0.2349
0.1147 0.4672 0.7349
0.2124 0.7103 0.0583
0.2124 0.7897 0.5583
0.3538 0.1625 0.0559
0.3538 0.3375 0.5559
0.6462 0.6625 0.4441
0.6462 0.8375 0.9441
0.7876 0.2103 0.4417
0.7876 0.2897 0.9417
0.8853 0.5328 0.2651
0.8853 0.9672 0.7651
0.2914 0.1030 0.7525
0.2914 0.3970 0.2525
0.7086 0.6030 0.7475
0.7086 0.8970 0.2475
0.0000 0.0000 0.0000
0.0000 0.5000 0.5000
```



Of them, arrangement A has the lowest stability.



Arrangement A

Below is a relaxed Sr4Au2N crystal, with properties calculated at the PBE-GGA level.

```
Sr4Au2N
1.0
5.1438 0.0000 0.0000
0.0000 5.1438 0.0000
0.0000 0.0000 16.0196
Sr Au N
8 4 2
Direct
0.0000 0.0000 0.1653
0.0000 0.0000 0.8347
0.0000 0.5000 0.0000
0.0000 0.5000 0.5000
0.5000 0.0000 0.0000
0.5000 0.0000 0.5000
0.5000 0.5000 0.3347
0.5000 0.5000 0.6653
0.0000 0.0000 0.3663
0.0000 0.0000 0.6337
0.5000 0.5000 0.1337
0.5000 0.5000 0.8663
0.0000 0.0000 0.0000
0.5000 0.5000 0.5000
```



Arrangement B

Below is a relaxed Sr4Au2N crystal, with properties calculated at the PBE-GGA level.

```
Sr4Au2N
1.0
7.4434 0.0000 0.0000
0.0000 7.5244 0.0000
-2.5822 0.0000 8.2902
Sr Au N
8 4 2
Direct
0.0285 0.0136 0.2512
0.0285 0.4864 0.2512
0.4264 0.2500 0.5873
0.4324 0.2500 0.1278
0.5676 0.7500 0.8722
0.5736 0.7500 0.4127
0.9715 0.5136 0.7488
0.9715 0.9864 0.7488
0.2102 0.7500 0.5539
0.2395 0.7500 0.0575
0.7605 0.2500 0.9425
0.7898 0.2500 0.4461
0.2506 0.2500 0.3112
0.7494 0.7500 0.6888
```



Of them, arrangement B has the lowest stability.



Arrangement A

Below is a relaxed Sr6AuN crystal, with properties calculated at the PBE-GGA level.

```
Sr6AuN
1.0
7.3751 0.0000 0.0000
0.0000 12.5788 0.0000
-2.0263 0.0000 6.8983
Sr Au N
12 2 2
Direct
0.2026 0.1498 0.2329
0.2026 0.8502 0.2329
0.2426 0.0000 0.7894
0.2574 0.5000 0.2106
0.2974 0.3502 0.7671
0.2974 0.6498 0.7671
0.7026 0.3502 0.2329
0.7026 0.6498 0.2329
0.7426 0.5000 0.7894
0.7574 0.0000 0.2106
0.7974 0.1498 0.7671
0.7974 0.8502 0.7671
0.0000 0.5000 0.5000
0.5000 0.0000 0.5000
0.0000 0.0000 0.0000
0.5000 0.5000 0.0000
```



Arrangement B

Below is a relaxed Sr6AuN crystal, with properties calculated at the PBE-GGA level.

```
Sr6AuN
1.0
7.3404 0.0000 0.0000
0.0000 12.6963 0.0000
-0.0140 0.0000 7.3596
Sr Au N
12 2 2
Direct
0.1498 0.1496 0.2116
0.1498 0.8504 0.2116
0.2013 0.5000 0.2109
0.2987 0.0000 0.7891
0.3502 0.3504 0.7884
0.3502 0.6496 0.7884
0.6498 0.3504 0.2116
0.6498 0.6496 0.2116
0.7013 0.0000 0.2109
0.7987 0.5000 0.7891
0.8502 0.1496 0.7884
0.8502 0.8504 0.7884
0.0000 0.0000 0.5000
0.5000 0.5000 0.5000
0.0000 0.0000 0.0000
0.5000 0.5000 0.0000
```



Of them, arrangement B has the lowest stability.



Arrangement A

Below is a relaxed TaAu3N crystal, with properties calculated at the PBE-GGA level.

```
TaAu3N
1.0
4.3924 0.0000 0.0000
0.0000 4.3924 0.0000
0.0000 0.0000 4.3924
Ta Au N
1 3 1
Direct
0.0000 0.0000 0.0000
0.0000 0.5000 0.5000
0.5000 0.0000 0.5000
0.5000 0.5000 0.0000
0.5000 0.5000 0.5000
```



Arrangement B

Below is a relaxed TaAu3N crystal, with properties calculated at the PBE-GGA level.

```
TaAu3N
1.0
5.1160 0.0000 0.0000
0.0000 5.1160 0.0000
0.0000 0.0000 5.1160
Ta Au N
1 3 1
Direct
0.0000 0.0000 0.0000
0.0000 0.0000 0.5000
0.0000 0.5000 0.0000
0.5000 0.0000 0.0000
0.5000 0.5000 0.5000
```



Of them, arrangement B has the lowest stability.